1.
VASP calculation (GGA-PBE) on a geometry-optimized MnTlBr2Cl structure.

```
5
Lattice="-0.657 1.994 5.376 -3.145 -4.264 1.198 4.660 -2.968 1.670" Properties=species:S:1:pos:R:3 pbc="T T T"
Br 2.330 -1.484 0.835
Br -0.328 0.997 2.688
Tl 0.000 0.000 0.000
Cl -1.572 -2.132 0.599
Mn 0.429 -2.619 4.122
```

ΔE_f (raw) ... 0.009 eV per atom
Fermi-level density of states ... 0.31 states/eV/atom



2.
VASP calculation (GGA-PBE) on a geometry-optimized MnTl2Br2Cl2 structure.

```
7
Lattice="-0.153 -1.114 3.963 7.572 0.493 2.573 2.940 6.464 4.073" Properties=species:S:1:pos:R:3 pbc="T T T"
Br 3.778 4.320 5.643
Br 6.581 1.523 4.965
Cl 8.365 5.850 6.251
Cl 1.993 -0.007 4.358
Mn 0.000 0.000 0.000
Tl 6.571 3.809 7.749
Tl 3.787 2.034 2.860
```

ΔE_f (raw) ... -0.920 eV per atom
Fermi-level density of states ... 0.00 states/eV/atom



3.
VASP calculation (GGA-PBE) on a geometry-optimized Mn2Tl3Br3Cl4 structure.

```
12
Lattice="-1.866 -2.662 -3.817 4.765 -2.424 -0.639 -5.174 -7.012 10.712" Properties=species:S:1:pos:R:3 pbc="T T T"
Mn -0.784 -2.006 1.767
Mn -1.499 -10.104 4.472
Cl -0.818 -8.355 2.916
Cl -0.593 -8.843 6.443
Cl -1.689 -3.267 -0.203
Cl -1.467 -3.758 3.320
Tl -2.363 -6.058 5.367
Tl 0.081 -6.051 0.875
Tl 1.445 -2.550 -2.237
Br 1.653 -3.079 1.324
Br -3.936 -9.032 4.915
Br -0.005 -0.006 -0.009
```

ΔE_f (raw) ... -0.928 eV per atom



4.
VASP calculation (GGA-PBE) on a geometry-optimized MnTlBr2Cl structure.

```
5
Lattice="-1.504 -0.493 -5.170 -4.996 -1.334 1.580 -1.299 4.775 -0.077" Properties=species:S:1:pos:R:3 pbc="T T T"
Mn 0.000 0.000 0.000
Cl -0.650 2.387 -0.039
Br -2.498 -0.667 0.790
Br -0.752 -0.246 -2.585
Tl -3.899 1.474 -1.834
```

ΔE_f (raw) ... -0.856 eV per atom



5.
VASP calculation (GGA-PBE) on a geometry-optimized Mn2Tl3Br2Cl5 structure.

```
12
Lattice="5.050 0.000 0.000 0.000 5.050 0.000 -2.525 -2.525 13.453" Properties=species:S:1:pos:R:3 pbc="T T T"
Cl 2.525 0.000 2.501
Cl 0.000 2.525 2.501
Cl 2.525 2.525 0.000
Cl 0.000 2.525 10.953
Cl 2.525 0.000 10.953
Mn 0.000 0.000 10.884
Mn 2.525 2.525 2.569
Tl 2.525 2.525 8.610
Tl 0.000 0.000 4.843
Tl 0.000 0.000 0.000
Br 0.000 0.000 8.217
Br 2.525 2.525 5.237
```

ΔE_f (raw) ... -0.986 eV per atom



6.
VASP calculation (GGA-PBE) on a geometry-optimized MnW2BrCl structure.

```
5
Lattice="4.703 0.000 0.000 0.000 4.709 0.000 0.000 0.000 4.703" Properties=species:S:1:pos:R:3 pbc="T T T"
Mn 0.000 2.355 0.000
W 0.000 0.000 2.351
W 2.351 0.000 0.000
Br 0.000 0.000 0.000
Cl 2.351 2.355 2.351
```

ΔE_f (raw) ... 2.212 eV per atom
Fermi-level density of states ... 0.89 states/eV/atom



7.
VASP calculation (GGA-PBE) on a geometry-optimized YMnBr2Cl structure.

```
5
Lattice="-0.732 5.578 0.449 -1.938 0.140 -4.909 -5.199 -0.846 2.028" Properties=species:S:1:pos:R:3 pbc="T T T"
Br -0.366 2.789 0.224
Br -2.599 -0.423 1.014
Mn -3.935 2.437 -1.216
Cl -0.969 0.070 -2.455
Y 0.000 0.000 0.000
```

ΔE_f (raw) ... -0.775 eV per atom
Fermi-level density of states ... 0.98 states/eV/atom



8.
VASP calculation (GGA-PBE) on a geometry-optimized Mo2BrCl structure.

```
4
Lattice="5.158 0.129 0.000 1.801 4.835 0.000 -3.479 -2.482 2.890" Properties=species:S:1:pos:R:3 pbc="T T T"
Mo 0.000 0.000 0.000
Mo 0.900 2.417 1.445
Cl 2.579 0.065 1.445
Br 3.479 2.482 0.000
```

ΔE_f (raw) ... 1.001 eV per atom
Fermi-level density of states ... 0.31 states/eV/atom



9.
VASP calculation (GGA-PBE) on a geometry-optimized MoBr3Cl2 structure.

```
12
Lattice="-4.025 -2.086 5.404 -1.173 -6.903 0.853 6.971 -3.054 7.601" Properties=species:S:1:pos:R:3 pbc="T T T"
Br 2.163 -3.516 8.554
Br -1.886 -3.519 6.671
Br 0.412 -4.917 1.986
Br 1.361 -7.125 11.871
Br 3.658 -8.523 7.186
Br -0.391 -8.527 5.304
Cl 3.961 -5.726 10.300
Cl -2.188 -6.317 3.558
Cl 0.421 -6.364 8.757
Cl 1.352 -5.679 5.101
Mo 0.020 -6.739 3.630
Mo 1.752 -5.304 10.228
```

ΔE_f (raw) ... -0.580 eV per atom
Fermi-level density of states ... 0.83 states/eV/atom



10.
VASP calculation (GGA-PBE) on a geometry-optimized MoBrCl3 structure.

```
5
Lattice="4.843 0.000 0.000 0.000 4.843 0.000 0.000 0.000 4.843" Properties=species:S:1:pos:R:3 pbc="T T T"
Cl 2.422 0.000 0.000
Cl 0.000 0.000 2.422
Cl 0.000 2.422 0.000
Mo 0.000 0.000 0.000
Br 2.422 2.422 2.422
```

ΔE_f (raw) ... -0.196 eV per atom
Fermi-level density of states ... 1.30 states/eV/atom



11.
VASP calculation (GGA-PBE) on a geometry-optimized Mo2BrCl structure.

```
4
Lattice="8.527 -0.010 -0.006 7.993 2.969 -0.006 7.993 1.432 2.601" Properties=species:S:1:pos:R:3 pbc="T T T"
Mo 0.037 0.007 0.004
Mo 12.219 2.189 1.291
Br 6.128 1.098 0.647
Cl 18.385 3.293 1.942
```

ΔE_f (raw) ... 0.707 eV per atom
Fermi-level density of states ... 1.24 states/eV/atom



12.
VASP calculation (GGA-PBE) on a geometry-optimized Mo2BrCl structure.

```
4
Lattice="-4.015 -0.101 -2.428 -1.081 -3.760 -2.592 -3.480 -2.851 1.337" Properties=species:S:1:pos:R:3 pbc="T T T"
Mo 0.000 0.000 0.000
Mo -2.144 -1.678 -0.921
Br -4.288 -3.356 -1.842
Cl -6.432 -5.034 -2.762
```

ΔE_f (raw) ... 1.027 eV per atom
Fermi-level density of states ... 0.85 states/eV/atom